No. 1
Compound: PrY2Pd
Source: the Alexandria database
Functional: PBE
Structure: optimized geometry

## Properties
The calculation puts the total magnetic moment at 0.00 μB/f.u. As for the uncorrected energy: -49.2 eV per cell. Its volume is 228 Å³ per cell. The calculation puts the relative energy among the computed polymorphs at 17 meV/atom. As for the density of states at the Fermi level: 4.94 states/eV/f.u. For the formation energy, the calculation gives -166 kJ/mol of formula units.

Cell: 3.7927 9.4238 6.6435 Å, 90.00 106.55 90.00°
Closest atoms and distances in Å follow each position.
Atoms (fractional coordinates):
1 Pr 0.0613 0.2500 0.1236  2 Pd 3.17-3.18
2 Pr 0.9387 0.7500 0.8764  2 Pd 3.17-3.18
3 Y 0.3632 0.0607 0.7254  2 Pd 2.90-2.91
4 Y 0.3632 0.4393 0.7254  2 Pd 2.90-2.91
5 Y 0.6368 0.5607 0.2746  2 Pd 2.90-2.91
6 Y 0.6368 0.9393 0.2746  2 Pd 2.90-2.91
7 Pd 0.2381 0.7500 0.4770  4 Y 2.90-2.91, 2 Pr 3.17-3.18
8 Pd 0.7619 0.2500 0.5230  4 Y 2.90-2.91, 2 Pr 3.17-3.18

No. 2
Compound: PaGaRhN
Source: the Alexandria database
Functional: PBE
Structure: optimized geometry

## Properties
The value obtained for the uncorrected formation energy is -1098 meV/atom. The calculation puts the total magnetic moment at 0.00 μB/f.u. As for the uncorrected energy: -65.2 eV per cell. Its volume is 130 Å³ per cell. As for the density of states at the Fermi level: 1.10 states/eV/f.u.

Cell: 4.1122 4.1122 7.6659 Å, 90.00 90.00 90.00°
Closest atoms and distances in Å follow each position.
Atoms (fractional coordinates):
1 Pa 0.2500 0.2500 0.1416  4 N 2.33
2 Pa 0.7500 0.7500 0.8584  4 N 2.33
3 Ga 0.2500 0.2500 0.6756  4 Rh 2.46
4 Ga 0.7500 0.7500 0.3244  4 Rh 2.46
5 Rh 0.2500 0.7500 0.5000  4 Ga 2.46
6 Rh 0.7500 0.2500 0.5000  4 Ga 2.46
7 N 0.2500 0.7500 0.0000  4 Pa 2.33
8 N 0.7500 0.2500 0.0000  4 Pa 2.33

No. 3
Compound: Tm2CdSb
Source: the Alexandria database
Functional: PBE
Structure: optimized geometry

## Properties
The value obtained for the uncorrected formation energy is -488 meV/atom. The calculation puts the total magnetic moment at 0.00 μB/f.u. As for the uncorrected energy: -15.9 eV per cell. Its volume is 115 Å³ per cell. The calculation puts the relative energy among the computed polymorphs at 63 meV/atom. As for the density of states at the Fermi level: 3.43 states/eV/f.u.

Cell: 8.1635 8.1635 8.1635 Å, 29.31 29.31 29.31°
Closest atoms and distances in Å follow each position.
Atoms (fractional coordinates):
1 Tm 0.2445 0.2445 0.2445  3 Sb 3.00, 3 Cd 3.17
2 Tm 0.7555 0.7555 0.7555  3 Sb 3.00, 3 Cd 3.17
3 Cd 0.0000 0.0000 0.0000  6 Tm 3.17
4 Sb 0.5000 0.5000 0.5000  6 Tm 3.00

No. 4
Compound: Tb3PuO7
Source: the Alexandria database
Functional: PBE
Structure: optimized geometry

## Properties
The value obtained for the uncorrected formation energy is -3339 meV/atom. The calculation puts the total magnetic moment at 3.00 μB/f.u. As for the uncorrected energy: -199.3 eV per cell. Its volume is 315 Å³ per cell. As for the density of states at the Fermi level: 6.66 states/eV/f.u.

Cell: 6.5944 6.5944 7.7102 Å, 90.00 90.00 109.82°
Closest atoms and distances in Å follow each position.
Atoms (fractional coordinates):
1 Tb 0.0000 0.0000 0.0000  8 O 2.40-2.59
2 Tb 0.0000 0.0000 0.5000  8 O 2.40-2.59
3 Tb 0.0330 0.5033 0.7500  7 O 2.25-2.47
4 Tb 0.4967 0.9670 0.7500  7 O 2.25-2.47
5 Tb 0.5033 0.0330 0.2500  7 O 2.25-2.47
6 Tb 0.9670 0.4967 0.2500  7 O 2.25-2.47
7 Pu 0.5000 0.5000 0.0000  6 O 2.10-2.17
8 Pu 0.5000 0.5000 0.5000  6 O 2.10-2.17
9 O 0.1325 0.8675 0.2500  4 Tb 2.32-2.40
10 O 0.1340 0.8660 0.7500  4 Tb 2.25-2.41
11 O 0.1651 0.4153 0.0297  1 Pu 2.10, 1 Tb 2.31
12 O 0.1651 0.4153 0.4703  1 Pu 2.10, 1 Tb 2.31
13 O 0.4078 0.5922 0.7500  2 Pu 2.17, 2 Tb 2.34
14 O 0.4153 0.1651 0.5297  1 Pu 2.10, 1 Tb 2.31
15 O 0.4153 0.1651 0.9703  1 Pu 2.10, 1 Tb 2.31
16 O 0.5847 0.8349 0.0297  1 Pu 2.10, 1 Tb 2.31
17 O 0.5847 0.8349 0.4703  1 Pu 2.10, 1 Tb 2.31
18 O 0.5922 0.4078 0.2500  2 Pu 2.17, 2 Tb 2.34
19 O 0.8349 0.5847 0.5297  1 Pu 2.10, 1 Tb 2.31
20 O 0.8349 0.5847 0.9703  1 Pu 2.10, 1 Tb 2.31
21 O 0.8660 0.1340 0.2500  4 Tb 2.25-2.41
22 O 0.8675 0.1325 0.7500  4 Tb 2.32-2.40

No. 5
Compound: La2MgSi3Pt12
Source: the Alexandria database
Functional: PBE
Structure: optimized geometry

## Properties
The value obtained for the uncorrected formation energy is -575 meV/atom. The calculation puts the total magnetic moment at 0.00 μB/f.u. As for the uncorrected energy: -110.6 eV per cell. Its volume is 358 Å³ per cell. As for the density of states at the Fermi level: 6.80 states/eV/f.u.

Cell: 7.6583 7.6583 7.6583 Å, 65.83 65.83 65.83°
Closest atoms and distances in Å follow each position.
Atoms (fractional coordinates):
1 La 0.1119 0.1119 0.1119  6 Pt 2.87-2.97
2 La 0.8881 0.8881 0.8881  6 Pt 2.87-2.97
3 Mg 0.5000 0.5000 0.5000  6 Pt 2.53
4 Si 0.0000 0.5000 0.5000  6 Pt 2.32-2.38
5 Si 0.5000 0.0000 0.5000  6 Pt 2.32-2.38
6 Si 0.5000 0.5000 0.0000  6 Pt 2.32-2.38
7 Pt 0.1239 0.6328 0.6328  1 Si 2.32, 1 Mg 2.53
8 Pt 0.1480 0.1480 0.6009  2 Si 2.38
9 Pt 0.1480 0.6009 0.1480  2 Si 2.38
10 Pt 0.3672 0.3672 0.8761  1 Si 2.32, 1 Mg 2.53
11 Pt 0.3672 0.8761 0.3672  1 Si 2.32, 1 Mg 2.53
12 Pt 0.3991 0.8520 0.8520  2 Si 2.38
13 Pt 0.6009 0.1480 0.1480  2 Si 2.38
14 Pt 0.6328 0.1239 0.6328  1 Si 2.32, 1 Mg 2.53
15 Pt 0.6328 0.6328 0.1239  1 Si 2.32, 1 Mg 2.53
16 Pt 0.8520 0.3991 0.8520  2 Si 2.38
17 Pt 0.8520 0.8520 0.3991  2 Si 2.38
18 Pt 0.8761 0.3672 0.3672  1 Si 2.32, 1 Mg 2.53

No. 6
Compound: Pr2Cu3As4Pt
Source: the Alexandria database
Functional: PBE
Structure: optimized geometry

## Properties
The calculation puts the total magnetic moment at 0.00 μB/f.u. As for the uncorrected energy: -53.1 eV per cell. Its volume is 188 Å³ per cell. As for the density of states at the Fermi level: 1.24 states/eV/f.u. For the formation energy, the calculation gives -640 kJ/mol of formula units.

Cell: 4.3126 4.3126 10.0929 Å, 90.00 90.00 90.00°
Closest atoms and distances in Å follow each position.
Atoms (fractional coordinates):
1 Pr 0.0000 0.5000 0.2449  8 As 3.23-3.36, 6 Cu 3.28-3.32, 2 Pt 3.28
2 Pr 0.5000 0.0000 0.7551  8 As 3.23-3.36, 6 Cu 3.28-3.32, 2 Pt 3.28
3 Cu 0.0000 0.0000 0.0000  4 As 2.57
4 Cu 0.0000 0.5000 0.6255  5 As 2.38-2.50
5 Cu 0.5000 0.0000 0.3745  5 As 2.38-2.50
6 As 0.0000 0.0000 0.5000  4 Cu 2.50
7 As 0.0000 0.5000 0.8617  3 Cu 2.38-2.57, 2 Pt 2.57
8 As 0.5000 0.0000 0.1383  3 Cu 2.38-2.57, 2 Pt 2.57
9 As 0.5000 0.5000 0.5000  4 Cu 2.50
10 Pt 0.5000 0.5000 0.0000  4 As 2.57